[1]
An optimized crystal structure of ZrIrNO, computed with PBE.

Unit cell a=4.624 b=4.624 c=4.352 alpha=90.00 beta=90.00 gamma=90.00
Fractional positions:
Zr 0.250 0.750 0.000
Zr 0.750 0.250 0.000
Ir 0.250 0.250 0.430
Ir 0.750 0.750 0.570
N 0.250 0.250 0.930
N 0.750 0.750 0.070
O 0.250 0.750 0.500
O 0.750 0.250 0.500

Summary:
distance to the lowest polymorph of the same formula = 0.6336 eV/atom
magnetic moment = 0.000 μB per atom
E = -67.014 eV/cell

=====

[2]
An optimized crystal structure of Pr2P2IrOsN2, computed with PBE.

Unit cell a=4.051 b=4.051 c=8.679 alpha=90.00 beta=90.00 gamma=90.00
Fractional positions:
Pr 0.000 0.500 0.140
Pr 0.500 0.000 0.860
P 0.000 0.500 0.641
P 0.500 0.000 0.359
Ir 0.000 0.000 0.500
Os 0.500 0.500 0.500
N 0.000 0.000 0.000
N 0.500 0.500 0.000

Summary:
magnetic moment = 0.145 μB per atom
E = -62.764 eV/cell

=====

[3]
An optimized crystal structure of Sc3IrN4, computed with PBE.

Unit cell a=6.300 b=6.300 c=6.300 alpha=151.48 beta=129.51 gamma=59.01
Fractional positions:
Sc 0.000 0.000 0.000
Sc 0.283 0.783 0.500
Sc 0.717 0.217 0.500
Ir 0.500 0.500 0.000
N 0.112 0.369 0.742
N 0.373 0.631 0.742
N 0.627 0.369 0.258
N 0.888 0.631 0.258

Summary:
magnetic moment = 0.000 μB per atom
E = -69.632 eV/cell

=====

[4]
An optimized crystal structure of SmIr2N2, computed with PBE.

Unit cell a=3.896 b=3.896 c=8.799 alpha=90.00 beta=90.00 gamma=90.00
Fractional positions:
Sm 0.250 0.250 0.236
Sm 0.750 0.750 0.764
Ir 0.250 0.250 0.899
Ir 0.250 0.750 0.500
Ir 0.750 0.250 0.500
Ir 0.750 0.750 0.101
N 0.250 0.250 0.655
N 0.250 0.750 0.000
N 0.750 0.250 0.000
N 0.750 0.750 0.345

Summary:
magnetic moment = 0.000 μB per atom
E = -75.131 eV/cell

=====

[5]
An optimized crystal structure of Sr2IrN, computed with PBE.

Unit cell a=7.765 b=7.765 c=7.765 alpha=93.45 beta=93.45 gamma=151.58
Fractional positions:
Sr 0.375 0.076 0.201
Sr 0.826 0.625 0.701
Sr 0.875 0.174 0.799
Sr 0.924 0.125 0.299
Ir 0.250 0.750 0.500
Ir 0.500 0.500 0.000
N 0.000 0.000 0.000
N 0.750 0.250 0.500

Summary:
magnetic moment = 0.002 μB per atom
E = -45.061 eV/cell

=====

[6]
An optimized crystal structure of Sr3IrN3, computed with PBE.

Unit cell a=7.700 b=7.700 c=5.288 alpha=90.00 beta=90.00 gamma=120.00
Fractional positions:
Sr 0.096 0.362 0.250
Sr 0.266 0.904 0.250
Sr 0.362 0.266 0.750
Sr 0.638 0.734 0.250
Sr 0.734 0.096 0.750
Sr 0.904 0.638 0.750
Ir 0.333 0.667 0.750
Ir 0.667 0.333 0.250
N 0.104 0.404 0.750
N 0.300 0.896 0.750
N 0.404 0.300 0.250
N 0.596 0.700 0.750
N 0.700 0.104 0.250
N 0.896 0.596 0.250

Summary:
magnetic moment = 0.002 μB per atom
E = -84.943 eV/cell

=====

[7]
An optimized crystal structure of ThIr3N, computed with PBE.

Unit cell a=4.300 b=4.300 c=4.300 alpha=90.00 beta=90.00 gamma=90.00
Fractional positions:
Th 0.000 0.000 0.000
Ir 0.000 0.500 0.500
Ir 0.500 0.000 0.500
Ir 0.500 0.500 0.000
N 0.500 0.500 0.500

Summary:
magnetic moment = 0.022 μB per atom
E = -42.289 eV/cell

=====

[8]
An optimized crystal structure of TlIr3N5, computed with PBE.

Unit cell a=5.566 b=5.566 c=4.078 alpha=90.00 beta=90.00 gamma=120.00
Fractional positions:
Tl 0.000 0.000 0.000
Ir 0.000 0.500 0.500
Ir 0.500 0.000 0.500
Ir 0.500 0.500 0.500
N 0.000 0.000 0.500
N 0.333 0.667 0.167
N 0.333 0.667 0.833
N 0.667 0.333 0.167
N 0.667 0.333 0.833

Summary:
magnetic moment = 0.035 μB per atom
E = -61.213 eV/cell

=====

[9]
An optimized crystal structure of IrW3N, computed with PBE.

Unit cell a=4.100 b=4.100 c=4.100 alpha=90.00 beta=90.00 gamma=90.00
Fractional positions:
Ir 0.000 0.000 0.000
W 0.000 0.500 0.500
W 0.500 0.000 0.500
W 0.500 0.500 0.000
N 0.500 0.500 0.500

Summary:
magnetic moment = 0.005 μB per atom
E = -56.408 eV/cell

=====

[10]
An optimized crystal structure of Na3Ir, computed with PBE.

Unit cell a=8.380 b=8.380 c=8.657 alpha=90.00 beta=90.00 gamma=120.00
Fractional positions:
Na 0.000 0.000 0.000
Na 0.000 0.000 0.500
Na 0.000 0.288 0.745
Na 0.000 0.370 0.076
Na 0.000 0.630 0.576
Na 0.000 0.712 0.245
Na 0.288 0.000 0.745
Na 0.288 0.288 0.245
Na 0.333 0.667 0.345
Na 0.333 0.667 0.845
Na 0.370 0.000 0.076
Na 0.370 0.370 0.576
Na 0.630 0.000 0.576
Na 0.630 0.630 0.076
Na 0.667 0.333 0.345
Na 0.667 0.333 0.845
Na 0.712 0.000 0.245
Na 0.712 0.712 0.745
Ir 0.000 0.327 0.411
Ir 0.000 0.673 0.911
Ir 0.327 0.000 0.411
Ir 0.327 0.327 0.911
Ir 0.673 0.000 0.911
Ir 0.673 0.673 0.411

Summary:
magnetic moment = 0.000 μB per atom
E = -63.633 eV/cell

=====

[11]
An optimized crystal structure of NaNbIr, computed with PBE.

Unit cell a=4.387 b=4.387 c=4.387 alpha=60.00 beta=60.00 gamma=60.00
Fractional positions:
Na 0.000 0.000 0.000
Nb 0.500 0.500 0.500
Ir 0.250 0.250 0.250

Summary:
distance to the lowest polymorph of the same formula = 0.0000 eV/atom
magnetic moment = 0.218 μB per atom
E = -18.731 eV/cell

=====

[12]
An optimized crystal structure of NaScNbIr, computed with PBE.

Unit cell a=4.649 b=4.649 c=4.649 alpha=60.00 beta=60.00 gamma=60.00
Fractional positions:
Na 0.000 0.000 0.000
Sc 0.750 0.750 0.750
Nb 0.250 0.250 0.250
Ir 0.500 0.500 0.500

Summary:
distance to the lowest polymorph of the same formula = 0.0000 eV/atom
magnetic moment = 0.001 μB per atom
E = -26.620 eV/cell

=====

[13]
An optimized crystal structure of NaNbTlIr, computed with PBE.

Unit cell a=4.650 b=4.650 c=4.650 alpha=60.00 beta=60.00 gamma=60.00
Fractional positions:
Na 0.000 0.000 0.000
Nb 0.250 0.250 0.250
Tl 0.750 0.750 0.750
Ir 0.500 0.500 0.500

Summary:
distance to the lowest polymorph of the same formula = 0.0000 eV/atom
magnetic moment = 0.000 μB per atom
E = -21.944 eV/cell

=====

[14]
An optimized crystal structure of NaNbTlIr, computed with PBE.

Unit cell a=4.712 b=4.712 c=4.712 alpha=60.00 beta=60.00 gamma=60.00
Fractional positions:
Na 0.000 0.000 0.000
Nb 0.500 0.500 0.500
Tl 0.750 0.750 0.750
Ir 0.250 0.250 0.250

Summary:
distance to the lowest polymorph of the same formula = 0.1507 eV/atom
magnetic moment = 0.000 μB per atom
E = -21.341 eV/cell

=====

[15]
An optimized crystal structure of NaNdIr, computed with PBE.

Unit cell a=4.791 b=4.791 c=4.791 alpha=60.00 beta=60.00 gamma=60.00
Fractional positions:
Na 0.000 0.000 0.000
Nd 0.500 0.500 0.500
Ir 0.750 0.750 0.750

Summary:
distance to the lowest polymorph of the same formula = 0.0000 eV/atom
magnetic moment = 0.002 μB per atom
E = -14.994 eV/cell

=====

[16]
An optimized crystal structure of NaNd2IrO6, computed with PBE.

Unit cell a=5.484 b=5.940 c=9.529 alpha=90.00 beta=124.07 gamma=90.00
Fractional positions:
Na 0.000 0.000 0.000
Na 0.000 0.500 0.500
Nd 0.224 0.075 0.747
Nd 0.224 0.425 0.247
Nd 0.776 0.575 0.753
Nd 0.776 0.925 0.253
Ir 0.500 0.000 0.500
Ir 0.500 0.500 0.000
O 0.150 0.177 0.448
O 0.150 0.323 0.948
O 0.269 0.716 0.434
O 0.269 0.784 0.934
O 0.385 0.048 0.265
O 0.385 0.452 0.765
O 0.615 0.548 0.235
O 0.615 0.952 0.735
O 0.731 0.216 0.066
O 0.731 0.284 0.566
O 0.850 0.677 0.052
O 0.850 0.823 0.552

Summary:
magnetic moment = 0.200 μB per atom
E = -143.107 eV/cell

=====

[17]
An optimized crystal structure of NaNiIr, computed with PBE.

Unit cell a=4.157 b=4.157 c=4.157 alpha=60.00 beta=60.00 gamma=60.00
Fractional positions:
Na 0.000 0.000 0.000
Ni 0.750 0.750 0.750
Ir 0.500 0.500 0.500

Summary:
distance to the lowest polymorph of the same formula = 0.0000 eV/atom
magnetic moment = 0.663 μB per atom
E = -13.309 eV/cell

=====

[18]
An optimized crystal structure of NaNiIr, computed with PBE.

Unit cell a=4.175 b=4.175 c=4.175 alpha=60.00 beta=60.00 gamma=60.00
Fractional positions:
Na 0.000 0.000 0.000
Ni 0.250 0.250 0.250
Ir 0.750 0.750 0.750

Summary:
distance to the lowest polymorph of the same formula = 0.8010 eV/atom
magnetic moment = 0.404 μB per atom
E = -10.906 eV/cell

=====

[19]
An optimized crystal structure of Na2Ir2O5, computed with PBE.

Unit cell a=3.846 b=3.846 c=7.056 alpha=90.00 beta=90.00 gamma=90.00
Fractional positions:
Na 0.000 0.000 0.000
Na 0.000 0.000 0.500
Ir 0.500 0.500 0.205
Ir 0.500 0.500 0.795
O 0.000 0.500 0.201
O 0.000 0.500 0.799
O 0.500 0.000 0.201
O 0.500 0.000 0.799
O 0.500 0.500 0.500

Summary:
distance to the lowest polymorph of the same formula = 0.0688 eV/atom
magnetic moment = 0.042 μB per atom
E = -52.396 eV/cell

=====

[20]
An optimized crystal structure of NaIrO2, computed with PBE.

Unit cell a=5.044 b=7.934 c=5.105 alpha=90.00 beta=90.00 gamma=90.00
Fractional positions:
Na 0.001 0.141 0.000
Na 0.499 0.641 0.500
Na 0.501 0.359 0.000
Na 0.999 0.859 0.500
Ir 0.005 0.332 0.524
Ir 0.495 0.832 0.024
Ir 0.505 0.168 0.524
Ir 0.995 0.668 0.024
O 0.064 0.567 0.396
O 0.123 0.117 0.427
O 0.377 0.617 0.927
O 0.436 0.067 0.896
O 0.564 0.933 0.396
O 0.623 0.383 0.427
O 0.877 0.883 0.927
O 0.936 0.433 0.896

Summary:
magnetic moment = 0.000 μB per atom
E = -90.800 eV/cell